Model one:
Crystalline SrNdTl at its relaxed geometry, computed with PBE-GGA.

extended XYZ file:
```
3
Lattice="-4.573 -2.404 1.925 -0.041 -5.415 1.037 -0.182 -1.809 5.205" Properties=species:S:1:pos:R:3 pbc="T T T"
Sr -2.398 -4.814 4.083
Nd 0.000 0.000 0.000
Tl -1.199 -2.407 2.042
```

Results
SG: F-43m, No. 216
DOS(E_F) in states/eV/atom: 0.8989

***

Model two:
Crystalline SrNdTl at its relaxed geometry, computed with PBE-GGA.

extended XYZ file:
```
3
Lattice="3.960 0.000 0.000 0.000 3.960 0.000 -1.980 -1.980 7.031" Properties=species:S:1:pos:R:3 pbc="T T T"
Sr 0.000 0.000 0.281
Nd 0.000 0.000 4.248
Tl 1.980 1.980 2.502
```

Results
SG: I4mm, No. 107
DOS(E_F) in states/eV/atom: 1.1077

***

Which of them is most stable, and which least? Most stable: model two; least stable: model one.

***

Model one:
Crystalline SrNdTlZn at its relaxed geometry, computed with PBE-GGA.

extended XYZ file:
```
4
Lattice="-0.032 -2.936 4.676 -4.032 -3.655 0.937 1.093 -5.411 -0.130" Properties=species:S:1:pos:R:3 pbc="T T T"
Zn 0.000 0.000 0.000
Sr -0.743 -3.000 1.371
Tl -1.485 -6.001 2.742
Nd -2.228 -9.001 4.113
```

Results
SG: F-43m, No. 216
DOS(E_F) in states/eV/atom: 0.5809

***

Model two:
Crystalline SrNdTlZn at its relaxed geometry, computed with PBE-GGA.

extended XYZ file:
```
4
Lattice="3.858 0.000 0.000 0.000 3.858 0.000 0.000 0.000 7.979" Properties=species:S:1:pos:R:3 pbc="T T T"
Nd 1.929 1.929 4.683
Tl 0.000 0.000 6.691
Zn 0.000 0.000 3.046
Sr 1.929 1.929 0.964
```

Results
SG: P4mm, No. 99
DOS(E_F) in states/eV/atom: 0.7448

***

Which of them is most stable, and which least? Most stable: model two; least stable: model one.

***

Model one:
Crystalline SrNdY2 at its relaxed geometry, computed with PBE-GGA.

extended XYZ file:
```
4
Lattice="3.716 0.000 0.000 1.858 3.218 0.000 1.858 1.073 12.320" Properties=species:S:1:pos:R:3 pbc="T T T"
Nd 0.000 0.000 0.000
Y 1.858 1.073 2.862
Y 5.574 3.218 9.458
Sr 3.716 2.146 6.160
```

Results
SG: R-3m, No. 166
DOS(E_F) in states/eV/atom: 1.7451

***

Model two:
Crystalline SrNdY2 at its relaxed geometry, computed with PBE-GGA.

extended XYZ file:
```
4
Lattice="-4.425 2.771 -0.300 -2.455 -4.153 -2.144 -1.374 -1.674 4.815" Properties=species:S:1:pos:R:3 pbc="T T T"
Y -0.687 -0.837 2.408
Y -1.228 -2.077 -1.072
Nd -2.213 1.385 -0.150
Sr -4.127 -1.528 1.186
```

Results
SG: P4/mmm, No. 123
DOS(E_F) in states/eV/atom: 1.7935

***

Which of them is most stable, and which least? Most stable: model one; least stable: model two.

***

Model one:
Crystalline SrNdY2 at its relaxed geometry, computed with PBE-GGA.

extended XYZ file:
```
4
Lattice="3.718 0.000 0.000 1.859 3.220 0.000 1.859 1.073 12.243" Properties=species:S:1:pos:R:3 pbc="T T T"
Sr 3.718 2.147 6.105
Y 1.859 1.073 2.863
Y 1.859 1.073 9.381
Nd 3.718 2.147 0.017
```

Results
SG: R3m, No. 160
DOS(E_F) in states/eV/atom: 1.4885

***

Model two:
Crystalline SrNdY2 at its relaxed geometry, computed with PBE-GGA.

extended XYZ file:
```
4
Lattice="3.738 0.000 0.000 0.000 3.738 0.000 0.000 0.000 10.672" Properties=species:S:1:pos:R:3 pbc="T T T"
Y 0.000 0.000 2.385
Y 0.000 0.000 8.287
Nd 1.869 1.869 0.000
Sr 1.869 1.869 5.336
```

Results
SG: P4/mmm, No. 123
DOS(E_F) in states/eV/atom: 1.7181

***

Which of them is most stable, and which least? Most stable: model one; least stable: model two.

***

Model one:
Crystalline SrNd2Zn at its relaxed geometry, computed with PBE-GGA.

extended XYZ file:
```
4
Lattice="-1.160 0.334 -3.575 2.491 -0.247 -2.823 -1.297 -11.583 -2.652" Properties=species:S:1:pos:R:3 pbc="T T T"
Nd -0.745 -7.898 -2.487
Nd 0.779 -3.598 -6.562
Sr 0.000 0.000 0.000
Zn 0.017 -5.748 -4.525
```

Results
SG: R-3m, No. 166
DOS(E_F) in states/eV/atom: 1.6118

***

Model two:
Crystalline SrNd2Zn at its relaxed geometry, computed with PBE-GGA.

extended XYZ file:
```
4
Lattice="3.801 0.000 0.000 0.000 3.801 0.000 0.000 0.000 9.468" Properties=species:S:1:pos:R:3 pbc="T T T"
Sr 1.900 1.900 4.734
Zn 1.900 1.900 0.000
Nd 0.000 0.000 1.695
Nd 0.000 0.000 7.773
```

Results
SG: P4/mmm, No. 123
DOS(E_F) in states/eV/atom: 1.4305

***

Which of them is most stable, and which least? Most stable: model two; least stable: model one.

***

Model one:
Crystalline SrNdZn at its relaxed geometry, computed with PBE-GGA.

extended XYZ file:
```
3
Lattice="-2.501 -0.896 3.331 -0.613 -4.890 -1.775 3.940 1.128 3.262" Properties=species:S:1:pos:R:3 pbc="T T T"
Nd -0.361 -0.129 0.481
Sr -0.731 -3.470 2.083
Zn 1.919 -1.058 2.253
```

Results
SG: P3m1, No. 156
DOS(E_F) in states/eV/atom: 0.8285

***

Model two:
Crystalline SrNdZn at its relaxed geometry, computed with PBE-GGA.

extended XYZ file:
```
3
Lattice="3.792 0.000 0.000 0.000 3.792 0.000 -1.896 -1.896 6.824" Properties=species:S:1:pos:R:3 pbc="T T T"
Sr 0.000 0.000 0.342
Zn 1.896 1.896 2.447
Nd 0.000 0.000 4.035
```

Results
SG: I4mm, No. 107
DOS(E_F) in states/eV/atom: 1.0685

***

Which of them is most stable, and which least? Most stable: model two; least stable: model one.